# MoOs2Au

An optimized crystal structure of MoOs2Au (PBE, the Alexandria database).

- energy above the lowest structure with this stoichiometry (meV/atom) = 0
- total energy (eV/cell) = -35.56
- E_form (eV per atom) = 0.252

Structure (extended XYZ):
```
4
Lattice="2.777 0.000 0.000 0.000 2.777 0.000 0.000 0.000 8.146" Properties=species:S:1:pos:R:3 pbc="T T T"
Mo 0.000 0.000 0.000
Os 0.000 0.000 3.826
Os 1.389 1.389 2.122
Au 1.389 1.389 6.037
```